Compound: La8Tb3Dy
Source: the Alexandria database
Functional: GGA-PBE
Structure: relaxed

Properties
Energy ... -54.08 eV per cell
Density of states at the Fermi level ... 21.36 states/eV per cell

```
La8Tb3Dy
1.0
-1.922 -7.160 -4.877
6.289 6.260 -0.097
2.728 -3.760 7.561
La Tb Dy
8 3 1
direct
0.500 0.278 0.273 La
0.500 0.773 0.778 La
0.996 0.722 0.222 La
0.004 0.227 0.727 La
0.158 0.249 0.409 La
0.842 0.250 0.091 La
0.160 0.751 0.909 La
0.840 0.750 0.591 La
0.500 0.753 0.253 Tb
0.500 0.247 0.747 Tb
0.000 0.500 0.500 Tb
0.000 0.000 0.000 Dy
```


Compound: La3Tb8Dy
Source: the Alexandria database
Functional: GGA-PBE
Structure: relaxed

Properties
Energy ... -53.19 eV per cell
Density of states at the Fermi level ... 15.85 states/eV per cell

```
La3Tb8Dy
1.0
8.367 -1.351 -2.251
-6.019 6.240 -1.318
1.244 1.351 8.575
La Tb Dy
3 8 1
direct
0.500 0.746 0.246 La
0.500 0.254 0.754 La
0.000 0.500 0.500 La
0.496 0.253 0.243 Tb
0.504 0.747 0.757 Tb
0.990 0.747 0.243 Tb
0.010 0.253 0.757 Tb
0.170 0.249 0.420 Tb
0.830 0.249 0.079 Tb
0.171 0.751 0.921 Tb
0.829 0.751 0.580 Tb
0.000 0.000 0.000 Dy
```


Compound: LaTb4Dy3
Source: the Alexandria database
Functional: GGA-PBE
Structure: relaxed

Properties
Energy ... -74.19 eV per cell
Density of states at the Fermi level ... 26.61 states/eV per cell

```
LaTb4Dy3
1.0
-1.052 6.070 -1.359
-3.301 -1.965 -6.220
-9.999 -0.509 5.467
La Tb Dy
2 8 6
direct
0.145 0.375 0.000 La
0.645 0.625 0.500 La
0.147 0.875 0.000 Tb
0.649 0.123 0.000 Tb
0.982 0.124 0.253 Tb
0.482 0.876 0.247 Tb
0.149 0.877 0.500 Tb
0.647 0.125 0.500 Tb
0.482 0.876 0.753 Tb
0.982 0.124 0.747 Tb
0.648 0.627 0.000 Dy
0.981 0.626 0.251 Dy
0.481 0.374 0.249 Dy
0.148 0.373 0.500 Dy
0.481 0.374 0.751 Dy
0.981 0.626 0.749 Dy
```


Compound: La3Tb3Dy8
Source: the Alexandria database
Functional: GGA-PBE
Structure: relaxed

Properties
Energy ... -64.07 eV per cell
Density of states at the Fermi level ... 21.94 states/eV per cell

```
La3Tb3Dy8
1.0
-1.153 0.653 5.549
-9.707 0.614 0.843
1.943 -8.527 4.339
La Tb Dy
3 3 8
direct
0.500 0.000 0.000 La
0.000 0.815 0.185 La
0.000 0.185 0.815 La
0.500 0.500 0.500 Tb
0.797 0.203 0.203 Tb
0.203 0.797 0.797 Tb
0.662 0.119 0.557 Dy
0.338 0.881 0.443 Dy
0.662 0.557 0.119 Dy
0.338 0.443 0.881 Dy
0.841 0.761 0.557 Dy
0.159 0.239 0.443 Dy
0.841 0.557 0.761 Dy
0.159 0.443 0.239 Dy
```